Entry 1:
# LaTaBeN3 | Alexandria via LeMat-Bulk | GGA-PBE | relaxed
data_LaTaBeN3
_symmetry_space_group_name_H-M 'P 1 21/m 1'
_symmetry_Int_Tables_number 11
_symmetry_space_group_name_Hall '-P 2yb'
_cell_length_a 6.913
_cell_length_b 3.197
_cell_length_c 7.021
_cell_angle_alpha 90.00
_cell_angle_beta 106.86
_cell_angle_gamma 90.00
loop_
_atom_site_label
_atom_site_fract_x
_atom_site_fract_y
_atom_site_fract_z
La1 0.199 0.250 0.228
Ta1 0.334 0.750 0.840
Be1 0.080 0.250 0.601
N1 0.122 0.250 0.856
N2 0.172 0.750 0.535
N3 0.455 0.750 0.161
# VASP energy = -8.7872 eV per atom
# energy relative to the elements, uncorrected = -1.207 eV per atom


Entry 2:
# GePtS2N | Alexandria via LeMat-Bulk | GGA-PBE | relaxed
data_GePtS2N
_symmetry_space_group_name_H-M 'P 4/m m m'
_symmetry_Int_Tables_number 123
_symmetry_space_group_name_Hall '-P 4 2'
_cell_length_a 4.976
_cell_length_b 4.976
_cell_length_c 3.690
_cell_angle_alpha 90.00
_cell_angle_beta 90.00
_cell_angle_gamma 90.00
loop_
_atom_site_label
_atom_site_fract_x
_atom_site_fract_y
_atom_site_fract_z
Ge1 0.000 0.000 0.000
Pt1 0.500 0.500 0.500
S1 0.000 0.500 0.500
N1 0.500 0.500 0.000
# relative energy among the computed polymorphs = 0.0000 eV per atom
# VASP energy = -4.8434 eV per atom
# energy relative to the elements, uncorrected = 0.604 eV per atom


Entry 3:
# GeAsH2Se | Alexandria via LeMat-Bulk | GGA-PBE | relaxed
data_GeAsH2Se
_symmetry_space_group_name_H-M 'P 1 m 1'
_symmetry_Int_Tables_number 6
_symmetry_space_group_name_Hall 'P -2y'
_cell_length_a 3.816
_cell_length_b 5.172
_cell_length_c 4.651
_cell_angle_alpha 90.00
_cell_angle_beta 91.07
_cell_angle_gamma 90.00
loop_
_atom_site_label
_atom_site_fract_x
_atom_site_fract_y
_atom_site_fract_z
Ge1 0.000 0.000 0.000
As1 0.967 0.500 0.138
H1 0.040 0.500 0.463
H2 0.566 0.500 0.172
Se1 0.491 0.000 0.661
# relative energy among the computed polymorphs = 0.0000 eV per atom
# VASP energy = -3.8672 eV per atom


Entry 4:
# UGeRh6 | Alexandria via LeMat-Bulk | GGA-PBE | relaxed
data_UGeRh6
_symmetry_space_group_name_H-M 'C 1 2/m 1'
_symmetry_Int_Tables_number 12
_symmetry_space_group_name_Hall '-C 2y'
_cell_length_a 7.599
_cell_length_b 5.422
_cell_length_c 7.325
_cell_angle_alpha 90.00
_cell_angle_beta 115.00
_cell_angle_gamma 90.00
loop_
_atom_site_label
_atom_site_fract_x
_atom_site_fract_y
_atom_site_fract_z
U1 0.000 0.000 0.000
Ge1 0.000 0.500 0.500
Rh1 0.159 0.000 0.450
Rh2 0.204 0.240 0.800
# relative energy among the computed polymorphs = 0.2932 eV per atom
# formation energy from the elements = -0.1623 eV per atom
# VASP energy = -7.6641 eV per atom


Entry 5:
# PaHgBi | Alexandria via LeMat-Bulk | GGA-PBE | relaxed
data_PaHgBi
_symmetry_space_group_name_H-M 'P -6 m 2'
_symmetry_Int_Tables_number 187
_symmetry_space_group_name_Hall 'P -6 2'
_cell_length_a 3.3463
_cell_length_b 3.3463
_cell_length_c 16.9110
_cell_angle_alpha 90.00
_cell_angle_beta 90.00
_cell_angle_gamma 120.00
loop_
_atom_site_label
_atom_site_fract_x
_atom_site_fract_y
_atom_site_fract_z
Pa1 0.0000 0.0000 0.0000
Pa2 0.3333 0.6667 0.5000
Hg1 0.0000 0.0000 0.3435
Bi1 0.3333 0.6667 0.1673
# relative energy among the computed polymorphs = 0.1140 eV per atom
# formation energy from the elements = 0.0497 eV per atom
# VASP energy = -4.5099 eV per atom


Entry 6:
# Ac3IrCl2 | Alexandria via LeMat-Bulk | GGA-PBE | relaxed
data_Ac3IrCl2
_symmetry_space_group_name_H-M 'I m m m'
_symmetry_Int_Tables_number 71
_symmetry_space_group_name_Hall '-I 2 2'
_cell_length_a 4.380
_cell_length_b 6.012
_cell_length_c 15.483
_cell_angle_alpha 90.00
_cell_angle_beta 90.00
_cell_angle_gamma 90.00
loop_
_atom_site_label
_atom_site_fract_x
_atom_site_fract_y
_atom_site_fract_z
Ac1 0.000 0.000 0.000
Ac2 0.000 0.000 0.370
Ir1 0.000 0.500 0.000
Cl1 0.000 0.500 0.300
# VASP energy = -5.4630 eV per atom
# energy relative to the elements, uncorrected = -1.316 eV per atom


Entry 7:
# Tb6NpTe8 | Alexandria via LeMat-Bulk | GGA-PBE | relaxed
data_Tb6NpTe8
_symmetry_space_group_name_H-M 'F m -3 m'
_symmetry_Int_Tables_number 225
_symmetry_space_group_name_Hall '-F 4 2 3'
_cell_length_a 12.334
_cell_length_b 12.334
_cell_length_c 12.334
_cell_angle_alpha 90.00
_cell_angle_beta 90.00
_cell_angle_gamma 90.00
loop_
_atom_site_label
_atom_site_fract_x
_atom_site_fract_y
_atom_site_fract_z
Tb1 0.000 0.250 0.250
Np1 0.000 0.000 0.000
Te1 0.000 0.000 0.258
Te2 0.250 0.250 0.250
# VASP energy = -5.6499 eV per atom
# energy relative to the elements, uncorrected = -1.260 eV per atom


Entry 8:
# DySc2PaRu4 | Alexandria via LeMat-Bulk | GGA-PBE | relaxed
data_DySc2PaRu4
_symmetry_space_group_name_H-M 'R -3 m'
_symmetry_Int_Tables_number 166
_symmetry_space_group_name_Hall '-R 3 2"'
_cell_length_a 4.7413
_cell_length_b 4.7413
_cell_length_c 22.5569
_cell_angle_alpha 90.00
_cell_angle_beta 90.00
_cell_angle_gamma 120.00
loop_
_atom_site_label
_atom_site_fract_x
_atom_site_fract_y
_atom_site_fract_z
Dy1 0.0000 0.0000 0.0000
Sc1 0.0000 0.0000 0.2529
Pa1 0.0000 0.0000 0.5000
Ru1 0.0000 0.0000 0.1283
Ru2 0.0000 0.0000 0.3822
# formation energy from the elements = -0.6065 eV per atom
# VASP energy = -8.5895 eV per atom


Entry 9:
# Dy3Er2Cu3 | Alexandria via LeMat-Bulk | GGA-PBE | relaxed
data_Dy3Er2Cu3
_symmetry_space_group_name_H-M 'I m m m'
_symmetry_Int_Tables_number 71
_symmetry_space_group_name_Hall '-I 2 2'
_cell_length_a 3.518
_cell_length_b 5.087
_cell_length_c 20.782
_cell_angle_alpha 90.00
_cell_angle_beta 90.00
_cell_angle_gamma 90.00
loop_
_atom_site_label
_atom_site_fract_x
_atom_site_fract_y
_atom_site_fract_z
Dy1 0.000 0.000 0.000
Dy2 0.000 0.500 0.117
Er1 0.000 0.000 0.226
Cu1 0.000 0.000 0.500
Cu2 0.000 0.500 0.384
# formation energy from the elements = -0.1588 eV per atom
# VASP energy = -4.5613 eV per atom


Entry 10:
# Sc3Tc | Alexandria via LeMat-Bulk | GGA-PBE | relaxed
data_Sc3Tc
_symmetry_space_group_name_H-M 'F m m m'
_symmetry_Int_Tables_number 69
_symmetry_space_group_name_Hall '-F 2 2'
_cell_length_a 5.066
_cell_length_b 10.213
_cell_length_c 13.697
_cell_angle_alpha 90.00
_cell_angle_beta 90.00
_cell_angle_gamma 90.00
loop_
_atom_site_label
_atom_site_fract_x
_atom_site_fract_y
_atom_site_fract_z
Sc1 0.000 0.000 0.179
Sc2 0.000 0.160 0.387
Tc1 0.000 0.126 0.000
# formation energy from the elements = 0.0083 eV per atom
# VASP energy = -7.3319 eV per atom


Entry 11:
# LiMg10AlH24 | Alexandria via LeMat-Bulk | GGA-PBE | relaxed
data_LiMg10AlH24
_symmetry_space_group_name_H-M 'P 1 2 1'
_symmetry_Int_Tables_number 3
_symmetry_space_group_name_Hall 'P 2y'
_cell_length_a 4.436
_cell_length_b 8.942
_cell_length_c 8.894
_cell_angle_alpha 90.00
_cell_angle_beta 90.36
_cell_angle_gamma 90.00
loop_
_atom_site_label
_atom_site_fract_x
_atom_site_fract_y
_atom_site_fract_z
Li1 0.000 0.000 0.000
Mg1 0.000 0.004 0.500
Mg2 0.000 0.336 0.500
Mg3 0.000 0.672 0.500
Mg4 0.000 0.675 0.000
Mg5 0.494 0.168 0.245
Mg6 0.496 0.840 0.240
Mg7 0.499 0.504 0.254
Al1 0.000 0.335 0.000
H1 0.187 0.486 0.908
H2 0.193 0.197 0.908
H3 0.193 0.502 0.402
H4 0.195 0.173 0.400
H5 0.197 0.832 0.902
H6 0.199 0.837 0.399
H7 0.280 0.342 0.144
H8 0.301 0.006 0.654
H9 0.302 0.009 0.147
H10 0.304 0.670 0.654
H11 0.306 0.661 0.149
H12 0.313 0.336 0.655
# VASP energy = -3.0253 eV per atom


Entry 12:
# BiB2F8 | Alexandria via LeMat-Bulk | GGA-PBE | relaxed
data_BiB2F8
_symmetry_space_group_name_H-M 'C 1 2/m 1'
_symmetry_Int_Tables_number 12
_symmetry_space_group_name_Hall '-C 2y'
_cell_length_a 9.292
_cell_length_b 5.157
_cell_length_c 6.669
_cell_angle_alpha 90.00
_cell_angle_beta 109.07
_cell_angle_gamma 90.00
loop_
_atom_site_label
_atom_site_fract_x
_atom_site_fract_y
_atom_site_fract_z
Bi1 0.000 0.000 0.000
B1 0.203 0.000 0.716
F1 0.136 0.220 0.788
F2 0.137 0.500 0.173
F3 0.170 0.000 0.501
# VASP energy = -5.4675 eV per atom
# energy relative to the elements, uncorrected = -2.540 eV per atom


Entry 13:
# Sm2ThPt3 | Alexandria via LeMat-Bulk | GGA-PBE | relaxed
data_Sm2ThPt3
_symmetry_space_group_name_H-M 'I 4/m m m'
_symmetry_Int_Tables_number 139
_symmetry_space_group_name_Hall '-I 4 2'
_cell_length_a 4.168
_cell_length_b 4.168
_cell_length_c 17.672
_cell_angle_alpha 90.00
_cell_angle_beta 90.00
_cell_angle_gamma 90.00
loop_
_atom_site_label
_atom_site_fract_x
_atom_site_fract_y
_atom_site_fract_z
Sm1 0.000 0.000 0.167
Th1 0.000 0.000 0.500
Pt1 0.000 0.000 0.000
Pt2 0.000 0.000 0.336
# formation energy from the elements = -1.1496 eV per atom
# VASP energy = -6.9797 eV per atom


Entry 14:
# Pm5Dy2Er4 | Alexandria via LeMat-Bulk | GGA-PBE | relaxed
data_Pm5Dy2Er4
_symmetry_space_group_name_H-M 'I m m m'
_symmetry_Int_Tables_number 71
_symmetry_space_group_name_Hall '-I 2 2'
_cell_length_a 3.513
_cell_length_b 9.079
_cell_length_c 23.435
_cell_angle_alpha 90.00
_cell_angle_beta 90.00
_cell_angle_gamma 90.00
loop_
_atom_site_label
_atom_site_fract_x
_atom_site_fract_y
_atom_site_fract_z
Pm1 0.000 0.000 0.000
Pm2 0.000 0.299 0.354
Dy1 0.000 0.500 0.231
Er1 0.000 0.186 0.500
Er2 0.000 0.500 0.097
# relative energy among the computed polymorphs = 0.1256 eV per atom
# formation energy from the elements = 0.1992 eV per atom
# VASP energy = -4.4561 eV per atom


Entry 15:
# LaCuSn | Alexandria via LeMat-Bulk | GGA-PBE | relaxed
data_LaCuSn
_symmetry_space_group_name_H-M 'I m m 2'
_symmetry_Int_Tables_number 44
_symmetry_space_group_name_Hall 'I 2 -2'
_cell_length_a 3.714
_cell_length_b 4.732
_cell_length_c 8.933
_cell_angle_alpha 90.00
_cell_angle_beta 90.00
_cell_angle_gamma 90.00
loop_
_atom_site_label
_atom_site_fract_x
_atom_site_fract_y
_atom_site_fract_z
La1 0.000 0.000 0.000
Cu1 0.000 0.000 0.344
Sn1 0.000 0.000 0.650
# formation energy from the elements = -0.1522 eV per atom
# VASP energy = -4.4943 eV per atom


Entry 16:
# Ca2InIrC | Alexandria via LeMat-Bulk | GGA-PBE | relaxed
data_Ca2InIrC
_symmetry_space_group_name_H-M 'P 4/m m m'
_symmetry_Int_Tables_number 123
_symmetry_space_group_name_Hall '-P 4 2'
_cell_length_a 5.162
_cell_length_b 5.162
_cell_length_c 3.905
_cell_angle_alpha 90.00
_cell_angle_beta 90.00
_cell_angle_gamma 90.00
loop_
_atom_site_label
_atom_site_fract_x
_atom_site_fract_y
_atom_site_fract_z
Ca1 0.000 0.500 0.000
In1 0.000 0.000 0.500
Ir1 0.500 0.500 0.500
C1 0.500 0.500 0.000
# formation energy from the elements = -0.3164 eV per atom
# VASP energy = -5.2817 eV per atom


Entry 17:
# Te2AsH | Alexandria via LeMat-Bulk | GGA-PBE | relaxed
data_Te2AsH
_symmetry_space_group_name_H-M 'P 1'
_symmetry_Int_Tables_number 1
_symmetry_space_group_name_Hall 'P 1'
_cell_length_a 4.144
_cell_length_b 7.415
_cell_length_c 7.604
_cell_angle_alpha 96.59
_cell_angle_beta 92.56
_cell_angle_gamma 106.22
loop_
_atom_site_label
_atom_site_fract_x
_atom_site_fract_y
_atom_site_fract_z
Te1 0.000 0.000 0.000
Te2 0.232 0.507 0.795
Te3 0.493 0.000 0.526
Te4 0.739 0.472 0.213
As1 0.166 0.236 0.298
As2 0.608 0.240 0.872
H1 0.081 0.901 0.554
H2 0.144 0.398 0.581
# relative energy among the computed polymorphs = 0.0000 eV per atom
# VASP energy = -3.4707 eV per atom


Entry 18:
# Sr3In5Sn6 | Alexandria via LeMat-Bulk | GGA-PBE | relaxed
data_Sr3In5Sn6
_symmetry_space_group_name_H-M 'P m m n'
_symmetry_Int_Tables_number 59
_cell_length_a 4.732
_cell_length_b 16.050
_cell_length_c 11.265
_cell_angle_alpha 90.00
_cell_angle_beta 90.00
_cell_angle_gamma 90.00
loop_
_symmetry_equiv_pos_as_xyz
'x,y,z'
'-x,-y,-z'
'-x+1/2,-y+1/2,z'
'x+1/2,y+1/2,-z'
'x+1/2,-y,-z'
'-x+1/2,y,z'
'-x,y+1/2,-z'
'x,-y+1/2,z'
loop_
_atom_site_label
_atom_site_fract_x
_atom_site_fract_y
_atom_site_fract_z
Sr1 0.250 0.072 0.249
Sr2 0.250 0.750 0.258
In1 0.250 0.068 0.611
In2 0.250 0.606 0.973
In3 0.250 0.750 0.762
Sn1 0.250 0.079 0.870
Sn2 0.250 0.250 0.011
Sn3 0.250 0.250 0.480
Sn4 0.250 0.617 0.533
# formation energy from the elements = -0.2928 eV per atom
# VASP energy = -3.3467 eV per atom


Entry 19:
# HgTeAu2 | Alexandria via LeMat-Bulk | GGA-PBE | relaxed
data_HgTeAu2
_symmetry_space_group_name_H-M 'P m m 2'
_symmetry_Int_Tables_number 25
_symmetry_space_group_name_Hall 'P 2 -2'
_cell_length_a 3.061
_cell_length_b 4.034
_cell_length_c 7.374
_cell_angle_alpha 90.00
_cell_angle_beta 90.00
_cell_angle_gamma 90.00
loop_
_atom_site_label
_atom_site_fract_x
_atom_site_fract_y
_atom_site_fract_z
Hg1 0.000 0.000 0.000
Te1 0.500 0.500 0.328
Au1 0.000 0.000 0.568
Au2 0.500 0.500 0.773
# relative energy among the computed polymorphs = 0.1414 eV per atom
# VASP energy = -2.3242 eV per atom
# energy relative to the elements, uncorrected = 0.175 eV per atom


Entry 20:
# Ti6Si3P | Alexandria via LeMat-Bulk | GGA-PBE | relaxed
data_Ti6Si3P
_symmetry_space_group_name_H-M 'C 1 2/m 1'
_symmetry_Int_Tables_number 12
_symmetry_space_group_name_Hall '-C 2y'
_cell_length_a 10.794
_cell_length_b 5.599
_cell_length_c 7.054
_cell_angle_alpha 90.00
_cell_angle_beta 124.89
_cell_angle_gamma 90.00
loop_
_atom_site_label
_atom_site_fract_x
_atom_site_fract_y
_atom_site_fract_z
Ti1 0.092 0.243 0.346
Ti2 0.239 0.500 0.859
Si1 0.000 0.000 0.000
Si2 0.217 0.000 0.741
P1 0.000 0.500 0.500
# VASP energy = -7.2387 eV per atom
# energy relative to the elements, uncorrected = -0.334 eV per atom


Entry 21:
# TlHgPb4 | Alexandria via LeMat-Bulk | GGA-PBE | relaxed
data_TlHgPb4
_symmetry_space_group_name_H-M 'C 1 2/m 1'
_symmetry_Int_Tables_number 12
_symmetry_space_group_name_Hall '-C 2y'
_cell_length_a 15.531
_cell_length_b 5.447
_cell_length_c 9.488
_cell_angle_alpha 90.00
_cell_angle_beta 101.97
_cell_angle_gamma 90.00
loop_
_atom_site_label
_atom_site_fract_x
_atom_site_fract_y
_atom_site_fract_z
Tl1 0.236 0.000 0.202
Hg1 0.170 0.500 0.381
Pb1 0.015 0.000 0.176
Pb2 0.049 0.500 0.672
Pb3 0.108 0.500 0.035
Pb4 0.127 0.000 0.535
# relative energy among the computed polymorphs = 0.0000 eV per atom
# formation energy from the elements = 0.0700 eV per atom
# VASP energy = -2.8469 eV per atom


Entry 22:
# PuScCu2O8 | Alexandria via LeMat-Bulk | GGA-PBE | relaxed
data_PuScCu2O8
_symmetry_space_group_name_H-M 'I -4 m 2'
_symmetry_Int_Tables_number 119
_symmetry_space_group_name_Hall 'I -4 -2'
_cell_length_a 6.532
_cell_length_b 6.532
_cell_length_c 6.849
_cell_angle_alpha 90.00
_cell_angle_beta 90.00
_cell_angle_gamma 90.00
loop_
_atom_site_label
_atom_site_fract_x
_atom_site_fract_y
_atom_site_fract_z
Pu1 0.000 0.000 0.000
Sc1 0.000 0.500 0.750
Cu1 0.000 0.000 0.500
Cu2 0.000 0.500 0.250
O1 0.000 0.183 0.703
O2 0.000 0.301 0.042
# VASP energy = -7.1977 eV per atom
# energy relative to the elements, uncorrected = -1.488 eV per atom